Entry 1:
The following is a GGA-PBE calculation of a geometry-optimized PrAs2Pb structure, from Alexandria.

Distance to the lowest polymorph of the same formula   19.8 meV/atom
E_form   -52.6 kJ/mol of atoms

a = 4.3559 Å, b = 4.3559 Å, c = 7.5574 Å
α = 73.25°, β = 73.25°, γ = 60.00°
With the nearest neighbours (Å) after each atom.
Fractional coordinates of all 4 atoms:
As: 0.0804 0.0804 0.7589  3 Pr 3.03, 3 Pb 3.06
As: 0.2565 0.2565 0.2305  3 Pr 3.02, 3 Pb 3.23
Pr: 0.6678 0.6678 0.9967  6 As 3.02-3.03
Pb: 0.4954 0.4954 0.5139  6 As 3.06-3.23


Entry 2:
The following is a GGA-PBE calculation of a geometry-optimized PrAs2Pt7Pb2 structure, from Alexandria.

E_form   -46.0 kJ/mol of atoms

a = 4.0503 Å, b = 4.0503 Å, c = 15.9727 Å
α = 82.71°, β = 82.71°, γ = 90.01°
With the nearest neighbours (Å) after each atom.
Fractional coordinates of all 12 atoms:
As: 0.3821 0.3821 0.2366  5 Pt 2.43-2.49
Pt: 0.3058 0.3058 0.3912  1 As 2.43
As: 0.6179 0.6179 0.7634  5 Pt 2.43-2.49
Pb: 0.2121 0.2121 0.5753  5 Pt 2.89-2.92
Pr: 0.0000 0.0000 0.0000  12 Pt 2.86-3.04
Pt: 0.6942 0.6942 0.6088  1 As 2.43
Pt: 0.5725 0.0720 0.8559  2 As 2.49
Pt: 0.0720 0.5725 0.8559  2 As 2.49
Pt: 0.9280 0.4275 0.1441  2 As 2.49
Pb: 0.7879 0.7879 0.4247  5 Pt 2.89-2.92
Pt: 0.4275 0.9280 0.1441  2 As 2.49
Pt: 0.5000 0.5000 0.0000  4 Pr 2.86, 8 Pt 3.04


Entry 3:
The following is a GGA-PBE calculation of a geometry-optimized Pr6Sb3As2Pb structure, from Alexandria.

Formation energy without anion corrections   -1.1461 eV/atom

a = 4.4633 Å, b = 9.0166 Å, c = 9.9654 Å
α = 102.05°, β = 102.94°, γ = 90.00°
With the nearest neighbours (Å) after each atom.
Fractional coordinates of all 12 atoms:
Pr: 0.6708 0.1000 0.3416  2 As 3.10, 3 Sb 3.14-3.25, 1 Pb 3.25
Sb: 0.1636 0.8345 0.3272  6 Pr 3.14-3.25
Pr: 0.3292 0.9000 0.6584  2 As 3.10, 3 Sb 3.14-3.25, 1 Pb 3.25
Pb: 0.5000 0.0000 0.0000  6 Pr 3.22-3.25
Pr: 0.0067 0.2599 0.0135  1 As 3.07, 3 Sb 3.13-3.23, 2 Pb 3.22
Sb: 0.8364 0.1655 0.6728  6 Pr 3.14-3.25
Sb: 0.5000 0.5000 0.0000  6 Pr 3.13-3.24
As: 0.1688 0.3374 0.3375  6 Pr 3.05-3.10
As: 0.8312 0.6626 0.6625  6 Pr 3.05-3.10
Pr: 0.6707 0.5760 0.3414  3 As 3.05-3.09, 3 Sb 3.24-3.25
Pr: 0.9933 0.7401 0.9865  1 As 3.07, 3 Sb 3.13-3.23, 2 Pb 3.22
Pr: 0.3293 0.4240 0.6586  3 As 3.05-3.09, 3 Sb 3.24-3.25


Entry 4:
The following is a GGA-PBE calculation of a geometry-optimized Pr6AsPb2Se3 structure, from Alexandria.

Formation energy without anion corrections   -1.3580 eV/atom

a = 4.3980 Å, b = 8.8147 Å, c = 9.8341 Å
α = 102.63°, β = 102.92°, γ = 90.00°
With the nearest neighbours (Å) after each atom.
Fractional coordinates of all 12 atoms:
Pr: 0.3370 0.9267 0.6740  1 As 3.05, 3 Se 3.06-3.19, 2 Pb 3.16
As: 0.5000 0.0000 0.0000  6 Pr 3.05-3.06
Se: 0.5000 0.5000 0.0000  6 Pr 3.04-3.17
Pr: 0.0016 0.7599 0.0032  2 As 3.06, 3 Se 3.08-3.17, 1 Pb 3.15
Se: 0.8336 0.1657 0.6671  6 Pr 3.06-3.19
Pb: 0.8330 0.6669 0.6659  6 Pr 3.15-3.18
Pr: 0.6630 0.0733 0.3260  1 As 3.05, 3 Se 3.06-3.19, 2 Pb 3.16
Pb: 0.1670 0.3331 0.3341  6 Pr 3.15-3.18
Pr: 0.6625 0.5899 0.3250  3 Se 3.04-3.07, 3 Pb 3.17-3.18
Pr: 0.9984 0.2401 0.9968  2 As 3.06, 3 Se 3.08-3.17, 1 Pb 3.15
Se: 0.1664 0.8343 0.3329  6 Pr 3.06-3.19
Pr: 0.3375 0.4101 0.6750  3 Se 3.04-3.07, 3 Pb 3.17-3.18


| no. | M_tot (μB/cell) | raw total energy (eV per atom) |
| --- | --- | --- |
| 1 | 0.00 | -4.99 |
| 2 | 0.00 | -5.79 |
| 3 | 0.00 | -5.65 |
| 4 | 0.00 | -5.62 |